Compound: PmNd7Hg2
Source: the Alexandria database
Functional: PBE-GGA
Structure: relaxed

Structure (extended XYZ):
```
10
Lattice="4.628 -7.924 0.000 4.628 7.924 0.000 0.000 0.000 5.426" Properties=species:S:1:pos:R:3 pbc="T T T"
Pm 0.000 0.000 0.000
Nd 1.692 1.901 2.713
Nd 4.628 4.246 0.000
Nd 1.692 -1.901 2.713
Nd 4.628 0.000 2.713
Nd 7.564 1.901 2.713
Nd 4.628 -4.246 0.000
Nd 7.564 -1.901 2.713
Hg 4.628 3.077 2.713
Hg 4.628 -3.077 2.713
```

Values from the calculation:
Density of states at the Fermi level, states/eV/atom: 1.908
ΔE_f, eV/atom: 0.25
Magnetization, Bohr magnetons per cell: 0.001
Uncorrected energy, eV per atom: -3.6191
Space group: No. 65

Compound: Na12Tl6Hg
Source: the Alexandria database
Functional: PBE-GGA
Structure: relaxed

Structure (extended XYZ):
```
19
Lattice="5.842 3.373 4.848 -5.842 3.373 4.848 0.000 -6.745 4.848" Properties=species:S:1:pos:R:3 pbc="T T T"
Na -1.630 -5.119 6.130
Na -5.248 -1.148 8.413
Na -1.330 -1.531 4.641
Na -3.618 3.971 6.130
Na -0.661 1.918 4.641
Na 1.991 -0.386 4.641
Na -1.991 0.386 9.902
Na 0.661 -1.918 9.902
Na 3.618 -3.971 8.413
Na 1.330 1.531 9.902
Na 5.248 1.148 6.130
Na 1.630 5.119 8.413
Tl -3.110 0.739 6.659
Tl -2.195 -2.324 7.885
Tl 0.915 -3.063 6.659
Tl -0.915 3.063 7.885
Tl 2.195 2.324 6.659
Tl 3.110 -0.739 7.885
Hg 0.000 0.000 7.272
```

Values from the calculation:
Density of states at the Fermi level, states/eV/atom: 0.528
ΔE_f, eV/atom: -0.09
Magnetization, Bohr magnetons per cell: 0.000
Uncorrected energy, eV per atom: -1.6888
Space group: No. 148

Compound: Tb4AsPb2
Source: the Alexandria database
Functional: PBE-GGA
Structure: relaxed

Structure (extended XYZ):
```
14
Lattice="6.707 0.000 0.000 0.000 6.577 0.000 -3.261 0.000 9.301" Properties=species:S:1:pos:R:3 pbc="T T T"
Tb 0.825 1.644 0.694
Tb -0.747 0.017 7.039
Tb -0.747 3.271 7.039
Tb 0.858 4.933 3.366
Tb 2.589 1.644 5.934
Tb 4.193 3.306 2.262
Tb 4.193 6.560 2.262
Tb 2.622 4.933 8.607
As 2.112 1.644 3.192
As 1.334 4.933 6.109
Pb -0.590 1.644 4.230
Pb 2.139 4.933 0.442
Pb 1.308 1.644 8.858
Pb 4.036 4.933 5.071
```

Values from the calculation:
Density of states at the Fermi level, states/eV/atom: 0.663
ΔE_f, eV/atom: -0.59
Magnetization, Bohr magnetons per cell: 0.000
Uncorrected energy, eV per atom: -4.9640
Space group: No. 11

Compound: Sr3LaNb
Source: the Alexandria database
Functional: PBE-GGA
Structure: relaxed

Structure (extended XYZ):
```
5
Lattice="5.854 0.000 0.000 0.000 5.854 0.000 0.000 0.000 5.854" Properties=species:S:1:pos:R:3 pbc="T T T"
Sr 0.000 0.000 2.927
Sr 0.000 2.927 0.000
Sr 2.927 0.000 0.000
La 2.927 2.927 2.927
Nb 0.000 0.000 0.000
```

Values from the calculation:
Density of states at the Fermi level, states/eV/atom: 1.199
ΔE_f, eV/atom: 0.91
Relative energy among the computed polymorphs, eV/atom: 0.000
Magnetization, Bohr magnetons per cell: 1.388
Uncorrected energy, eV per atom: -3.0961
Space group: No. 221

Compound: NaCdBiAs2
Source: the Alexandria database
Functional: PBE-GGA
Structure: relaxed

Structure (extended XYZ):
```
5
Lattice="5.263 0.000 0.000 0.000 5.263 0.000 0.000 0.000 5.722" Properties=species:S:1:pos:R:3 pbc="T T T"
Na 0.000 0.000 0.000
Cd 2.631 2.631 2.861
Bi 2.631 2.631 0.000
As 0.000 2.631 2.861
As 2.631 0.000 2.861
```

Values from the calculation:
Density of states at the Fermi level, states/eV/atom: 0.902
ΔE_f, eV/atom: 0.50
Magnetization, Bohr magnetons per cell: 0.000
Uncorrected energy, eV per atom: -2.5800
Space group: No. 123

Compound: TbZr2Al6
Source: the Alexandria database
Functional: PBE-GGA
Structure: relaxed

Structure (extended XYZ):
```
9
Lattice="-2.123 3.414 6.579 2.123 -3.414 6.579 2.123 3.414 -6.579" Properties=species:S:1:pos:R:3 pbc="T T T"
Tb 0.000 0.000 0.000
Zr 2.123 0.000 5.033
Zr 0.000 3.414 1.546
Al 2.123 1.405 -2.504
Al 2.123 2.145 0.000
Al 2.123 1.405 2.504
Al 0.000 2.009 4.075
Al 0.000 1.269 6.579
Al 0.000 2.009 9.083
```

Values from the calculation:
Density of states at the Fermi level, states/eV/atom: 0.518
ΔE_f, eV/atom: -0.29
Relative energy among the computed polymorphs, eV/atom: 0.151
Magnetization, Bohr magnetons per cell: 0.000
Uncorrected energy, eV per atom: -5.2007
Space group: No. 71

Compound: AlTlCu2F8
Source: the Alexandria database
Functional: PBE-GGA
Structure: relaxed

Structure (extended XYZ):
```
12
Lattice="5.255 0.000 0.000 -2.628 4.551 0.000 0.000 0.000 7.792" Properties=species:S:1:pos:R:3 pbc="T T T"
Al 0.000 0.000 0.000
Tl 0.000 0.000 3.896
Cu 0.000 3.034 1.395
Cu 2.628 1.517 6.397
F -1.811 3.301 6.743
F 0.675 1.332 6.743
F 1.491 0.082 1.048
F 0.000 3.034 3.216
F 2.628 1.517 4.576
F 1.136 4.469 6.743
F 1.953 3.219 1.048
F 4.439 1.250 1.048
```

Values from the calculation:
Density of states at the Fermi level, states/eV/atom: 0.726
Energy relative to the elements, uncorrected, kJ/mol of formula units: -2463.1
Magnetization, Bohr magnetons per cell: 2.001
Uncorrected energy, eV per atom: -4.5666
Space group: No. 147

Compound: NbAuS2N
Source: the Alexandria database
Functional: PBE-GGA
Structure: relaxed

Structure (extended XYZ):
```
5
Lattice="4.958 0.000 0.000 0.000 4.958 0.000 0.000 0.000 3.884" Properties=species:S:1:pos:R:3 pbc="T T T"
Nb 0.000 0.000 0.000
Au 2.479 2.479 1.942
S 0.000 2.479 0.000
S 2.479 0.000 0.000
N 0.000 0.000 1.942
```

Values from the calculation:
Density of states at the Fermi level, states/eV/atom: 1.140
Energy relative to the elements, uncorrected, kJ/mol of formula units: 135.5
Relative energy among the computed polymorphs, eV/atom: 0.000
Magnetization, Bohr magnetons per cell: 0.001
Uncorrected energy, eV per atom: -5.7046
Space group: No. 123

Compound: Sm2HoBe
Source: the Alexandria database
Functional: PBE-GGA
Structure: relaxed

Structure (extended XYZ):
```
4
Lattice="3.541 0.000 0.000 0.000 3.541 0.000 0.000 0.000 8.553" Properties=species:S:1:pos:R:3 pbc="T T T"
Sm 0.000 0.000 1.684
Sm 0.000 0.000 6.868
Ho 1.771 1.771 4.276
Be 1.771 1.771 0.000
```

Values from the calculation:
Density of states at the Fermi level, states/eV/atom: 1.010
ΔE_f, eV/atom: 0.10
Relative energy among the computed polymorphs, eV/atom: 0.000
Magnetization, Bohr magnetons per cell: 0.000
Uncorrected energy, eV per atom: -4.3309
Space group: No. 123

Compound: Cs4Rb3NaCl8
Source: the Alexandria database
Functional: PBE-GGA
Structure: relaxed

Structure (extended XYZ):
```
16
Lattice="8.299 -4.789 0.000 8.299 4.789 0.000 -5.529 0.000 7.836" Properties=species:S:1:pos:R:3 pbc="T T T"
Cs 0.000 0.000 0.000
Cs 4.149 2.395 0.000
Cs 4.149 -2.395 0.000
Cs 8.299 0.000 0.000
Rb -2.764 0.000 3.918
Rb 1.385 2.395 3.918
Rb 1.385 -2.395 3.918
Na 5.534 0.000 3.918
Cl 0.003 0.000 5.755
Cl 4.222 2.274 5.673
Cl 2.892 0.000 2.154
Cl 6.847 2.274 2.164
Cl 4.222 -2.274 5.673
Cl 8.176 0.000 5.682
Cl 6.847 -2.274 2.164
Cl 11.066 0.000 2.082
```

Values from the calculation:
Density of states at the Fermi level, states/eV/atom: 0.000
Energy relative to the elements, uncorrected, kJ/mol of formula units: -2943.3
Magnetization, Bohr magnetons per cell: 0.079
Uncorrected energy, eV per atom: -3.3071
Space group: No. 12

Compound: Th4PdC
Source: the Alexandria database
Functional: PBE-GGA
Structure: relaxed

Structure (extended XYZ):
```
12
Lattice="4.114 -7.243 0.000 4.114 7.243 0.000 -3.534 0.000 5.362" Properties=species:S:1:pos:R:3 pbc="T T T"
Th -0.068 4.357 4.435
Th -0.644 0.748 3.865
Th 1.123 -0.748 1.184
Th 2.997 4.357 3.608
Th 1.698 -4.357 1.754
Th 3.572 0.748 4.178
Th 5.339 -0.748 1.497
Th 4.763 -4.357 0.927
Pd 3.231 1.633 1.341
Pd 1.464 -1.633 4.022
C 1.464 6.340 4.022
C 3.231 -6.340 1.341
```

Values from the calculation:
Density of states at the Fermi level, states/eV/atom: 0.994
ΔE_f, eV/atom: -0.27
Magnetization, Bohr magnetons per cell: 0.000
Uncorrected energy, eV per atom: -7.6187
Space group: No. 15

Compound: EuTmScCd
Source: the Alexandria database
Functional: PBE-GGA
Structure: relaxed

Structure (extended XYZ):
```
16
Lattice="7.651 0.000 0.000 0.000 7.651 0.000 0.000 0.000 7.651" Properties=species:S:1:pos:R:3 pbc="T T T"
Eu 0.000 0.000 0.000
Eu 0.000 3.826 3.826
Eu 3.826 0.000 3.826
Eu 3.826 3.826 0.000
Tm 0.000 0.000 3.826
Tm 0.000 3.826 0.000
Tm 3.826 0.000 0.000
Tm 3.826 3.826 3.826
Sc 1.913 1.913 5.738
Sc 1.913 5.738 1.913
Sc 5.738 1.913 1.913
Sc 5.738 5.738 5.738
Cd 1.913 1.913 1.913
Cd 1.913 5.738 5.738
Cd 5.738 1.913 5.738
Cd 5.738 5.738 1.913
```

Values from the calculation:
Density of states at the Fermi level, states/eV/atom: 0.892
ΔE_f, eV/atom: 0.01
Magnetization, Bohr magnetons per cell: 28.237
Uncorrected energy, eV per atom: -5.4842
Space group: No. 216